1.
Here is a geometry-optimized K2RbO structure from the Alexandria database. Energies are from GGA-PBE.

N(E_F) (states/eV/f.u.): 1.3
Formation energy (no corrections) (meV per atom): -696

Cell and atoms, written as CIF:
```
data_K2RbO
_chemical_formula_sum 'K4 Rb2 O2'
_space_group_name_H-M_alt 'P 1'
_space_group_IT_number 1
_space_group_name_Hall 'P 1'
_cell_length_a 4.401
_cell_length_b 8.193
_cell_length_c 8.494
_cell_angle_alpha 91.23
_cell_angle_beta 104.98
_cell_angle_gamma 91.65
loop_
_atom_site_label
_atom_site_type_symbol
_atom_site_fract_x
_atom_site_fract_y
_atom_site_fract_z
K1 K 0.000 0.000 0.000
K2 K 0.068 0.376 0.092
K3 K 0.405 0.465 0.758
K4 K 0.731 0.282 0.427
Rb1 Rb 0.333 0.059 0.660
Rb2 Rb 0.657 0.871 0.325
O1 O 0.161 0.116 0.307
O2 O 0.905 0.248 0.782
```

2.
Here is a geometry-optimized K3RbO2 structure from the Alexandria database. Energies are from GGA-PBE.

ΔE to the lowest computed polymorph (meV per atom): 0
Formation energy (no corrections) (meV per atom): -985

Cell and atoms, written as CIF:
```
data_K3RbO2
_chemical_formula_sum 'K18 Rb6 O12'
_space_group_name_H-M_alt 'R -3 m'
_space_group_IT_number 166
_space_group_name_Hall '-R 3 2"'
_cell_length_a 9.3128
_cell_length_b 9.3128
_cell_length_c 11.4245
_cell_angle_alpha 90.00
_cell_angle_beta 90.00
_cell_angle_gamma 120.00
loop_
_atom_site_label
_atom_site_type_symbol
_atom_site_fract_x
_atom_site_fract_y
_atom_site_fract_z
K1 K 0.0005 0.5003 0.2502
Rb1 Rb 0.0000 0.0000 0.2493
O1 O 0.0000 0.0000 0.0000
O2 O 0.0000 0.5000 0.0000
```

3.
Here is a geometry-optimized K4RbO structure from the Alexandria database. Energies are from GGA-PBE.

N(E_F) (states/eV/f.u.): 3.1
Formation energy (no corrections) (meV per atom): -491

Cell and atoms, written as CIF:
```
data_K4RbO
_chemical_formula_sum 'K16 Rb4 O4'
_space_group_name_H-M_alt 'C 1 2/m 1'
_space_group_IT_number 12
_space_group_name_Hall '-C 2y'
_cell_length_a 21.465
_cell_length_b 8.770
_cell_length_c 7.804
_cell_angle_alpha 90.00
_cell_angle_beta 104.78
_cell_angle_gamma 90.00
loop_
_atom_site_label
_atom_site_type_symbol
_atom_site_fract_x
_atom_site_fract_y
_atom_site_fract_z
K1 K 0.000 0.182 0.000
K2 K 0.100 0.213 0.690
K3 K 0.179 0.000 0.130
Rb1 Rb 0.186 0.500 0.290
O1 O 0.078 0.000 0.886
```

4.
Here is a geometry-optimized K4Rb5O structure from the Alexandria database. Energies are from GGA-PBE.

N(E_F) (states/eV/f.u.): 6.2
ΔE to the lowest computed polymorph (meV per atom): 0
Formation energy (no corrections) (meV per atom): -276

Cell and atoms, written as CIF:
```
data_K4Rb5O
_chemical_formula_sum 'K8 Rb10 O2'
_space_group_name_H-M_alt 'I 4'
_space_group_IT_number 79
_space_group_name_Hall 'I 4'
_cell_length_a 13.703
_cell_length_b 13.703
_cell_length_c 7.258
_cell_angle_alpha 90.00
_cell_angle_beta 90.00
_cell_angle_gamma 90.00
loop_
_atom_site_label
_atom_site_type_symbol
_atom_site_fract_x
_atom_site_fract_y
_atom_site_fract_z
K1 K 0.001 0.342 0.000
Rb1 Rb 0.000 0.000 0.070
Rb2 Rb 0.139 0.139 0.503
O1 O 0.000 0.000 0.436
```

5.
Here is a geometry-optimized KRbO4 structure from the Alexandria database. Energies are from GGA-PBE.

N(E_F) (states/eV/f.u.): 5.5
Formation energy (no corrections) (meV per atom): -860

Cell and atoms, written as CIF:
```
data_KRbO4
_chemical_formula_sum 'K2 Rb2 O8'
_space_group_name_H-M_alt 'C 1 2/m 1'
_space_group_IT_number 12
_space_group_name_Hall '-C 2y'
_cell_length_a 8.049
_cell_length_b 4.075
_cell_length_c 7.992
_cell_angle_alpha 90.00
_cell_angle_beta 119.08
_cell_angle_gamma 90.00
loop_
_atom_site_label
_atom_site_type_symbol
_atom_site_fract_x
_atom_site_fract_y
_atom_site_fract_z
K1 K 0.000 0.000 0.000
Rb1 Rb 0.000 0.500 0.500
O1 O 0.194 0.500 0.285
O2 O 0.209 0.000 0.813
```

6.
Here is a geometry-optimized K3Rb4O structure from the Alexandria database. Energies are from GGA-PBE.

N(E_F) (states/eV/f.u.): 4.9
ΔE to the lowest computed polymorph (meV per atom): 0
Formation energy (no corrections) (meV per atom): -345

Cell and atoms, written as CIF:
```
data_K3Rb4O
_chemical_formula_sum 'K6 Rb8 O2'
_space_group_name_H-M_alt 'P m m n'
_space_group_IT_number 59
_cell_length_a 5.739
_cell_length_b 11.857
_cell_length_c 15.677
_cell_angle_alpha 90.00
_cell_angle_beta 90.00
_cell_angle_gamma 90.00
loop_
_space_group_symop_operation_xyz
'x,y,z'
'-x,-y,-z'
'-x+1/2,-y+1/2,z'
'x+1/2,y+1/2,-z'
'x+1/2,-y,-z'
'-x+1/2,y,z'
'-x,y+1/2,-z'
'x,-y+1/2,z'
loop_
_atom_site_label
_atom_site_type_symbol
_atom_site_fract_x
_atom_site_fract_y
_atom_site_fract_z
K1 K 0.250 0.089 0.091
K2 K 0.250 0.750 0.454
Rb1 Rb 0.250 0.085 0.334
Rb2 Rb 0.250 0.250 0.802
Rb3 Rb 0.250 0.750 0.796
O1 O 0.250 0.250 0.206
```

7.
Here is a geometry-optimized K5Rb2O structure from the Alexandria database. Energies are from GGA-PBE.

N(E_F) (states/eV/f.u.): 5.0
ΔE to the lowest computed polymorph (meV per atom): 0
Formation energy (no corrections) (meV per atom): -338

Cell and atoms, written as CIF:
```
data_K5Rb2O
_chemical_formula_sum 'K20 Rb8 O4'
_space_group_name_H-M_alt 'C m c m'
_space_group_IT_number 63
_space_group_name_Hall '-C 2c 2'
_cell_length_a 5.278
_cell_length_b 24.294
_cell_length_c 16.660
_cell_angle_alpha 90.00
_cell_angle_beta 90.00
_cell_angle_gamma 90.00
loop_
_atom_site_label
_atom_site_type_symbol
_atom_site_fract_x
_atom_site_fract_y
_atom_site_fract_z
K1 K 0.000 0.060 0.139
K2 K 0.000 0.217 0.135
K3 K 0.000 0.357 0.750
Rb1 Rb 0.000 0.125 0.616
O1 O 0.000 0.138 0.250
```

8.
Here is a geometry-optimized K12Rb7O structure from the Alexandria database. Energies are from GGA-PBE.

N(E_F) (states/eV/f.u.): 15.5
Formation energy (no corrections) (meV per atom): -112

Cell and atoms, written as CIF:
```
data_K12Rb7O
_chemical_formula_sum 'K36 Rb21 O3'
_space_group_name_H-M_alt 'R -3'
_space_group_IT_number 148
_space_group_name_Hall '-R 3'
_cell_length_a 21.0765
_cell_length_b 21.0765
_cell_length_c 11.5797
_cell_angle_alpha 90.00
_cell_angle_beta 90.00
_cell_angle_gamma 120.00
loop_
_atom_site_label
_atom_site_type_symbol
_atom_site_fract_x
_atom_site_fract_y
_atom_site_fract_z
K1 K 0.0007 0.6146 0.0002
K2 K 0.0727 0.5361 0.6497
Rb1 Rb 0.0000 0.0000 0.0000
Rb2 Rb 0.0621 0.1262 0.3608
O1 O 0.0000 0.0000 0.5000
```

9.
Here is a geometry-optimized K8Rb4O structure from the Alexandria database. Energies are from GGA-PBE.

N(E_F) (states/eV/f.u.): 8.5
Formation energy (no corrections) (meV per atom): -190

Cell and atoms, written as CIF:
```
data_K8Rb4O
_chemical_formula_sum 'K8 Rb4 O1'
_space_group_name_H-M_alt 'P m m 2'
_space_group_IT_number 25
_space_group_name_Hall 'P 2 -2'
_cell_length_a 5.538
_cell_length_b 6.903
_cell_length_c 23.012
_cell_angle_alpha 90.00
_cell_angle_beta 90.00
_cell_angle_gamma 90.00
loop_
_atom_site_label
_atom_site_type_symbol
_atom_site_fract_x
_atom_site_fract_y
_atom_site_fract_z
K1 K 0.000 0.000 0.000
K2 K 0.000 0.000 0.315
K3 K 0.000 0.500 0.173
K4 K 0.000 0.500 0.492
K5 K 0.500 0.000 0.491
K6 K 0.500 0.000 0.891
K7 K 0.500 0.500 0.000
K8 K 0.500 0.500 0.643
Rb1 Rb 0.000 0.000 0.673
Rb2 Rb 0.000 0.500 0.817
Rb3 Rb 0.500 0.000 0.114
Rb4 Rb 0.500 0.500 0.334
O1 O 0.500 0.000 0.000
```

10.
Here is a geometry-optimized KRb2O structure from the Alexandria database. Energies are from GGA-PBE.

N(E_F) (states/eV/f.u.): 4.8
Formation energy (no corrections) (meV per atom): -642

Cell and atoms, written as CIF:
```
data_KRb2O
_chemical_formula_sum 'K3 Rb6 O3'
_space_group_name_H-M_alt 'R 3 m'
_space_group_IT_number 160
_space_group_name_Hall 'R 3 -2"'
_cell_length_a 4.3332
_cell_length_b 4.3332
_cell_length_c 34.4142
_cell_angle_alpha 90.00
_cell_angle_beta 90.00
_cell_angle_gamma 120.00
loop_
_atom_site_label
_atom_site_type_symbol
_atom_site_fract_x
_atom_site_fract_y
_atom_site_fract_z
K1 K 0.0000 0.0000 0.0000
Rb1 Rb 0.0000 0.0000 0.5363
Rb2 Rb 0.0000 0.0000 0.7937
O1 O 0.0000 0.0000 0.1649
```

11.
Here is a geometry-optimized KRb7O3 structure from the Alexandria database. Energies are from GGA-PBE.

N(E_F) (states/eV/f.u.): 2.9
ΔE to the lowest computed polymorph (meV per atom): 0
Formation energy (no corrections) (meV per atom): -782

Cell and atoms, written as CIF:
```
data_KRb7O3
_chemical_formula_sum 'K2 Rb14 O6'
_space_group_name_H-M_alt 'C 1 m 1'
_space_group_IT_number 8
_space_group_name_Hall 'C -2y'
_cell_length_a 14.655
_cell_length_b 8.490
_cell_length_c 10.332
_cell_angle_alpha 90.00
_cell_angle_beta 130.48
_cell_angle_gamma 90.00
loop_
_atom_site_label
_atom_site_type_symbol
_atom_site_fract_x
_atom_site_fract_y
_atom_site_fract_z
K1 K 0.000 0.000 0.000
Rb1 Rb 0.007 0.500 0.981
Rb2 Rb 0.087 0.226 0.353
Rb3 Rb 0.233 0.275 0.977
Rb4 Rb 0.313 0.000 0.348
Rb5 Rb 0.330 0.500 0.353
O1 O 0.159 0.248 0.164
O2 O 0.411 0.500 0.165
```

12.
Here is a geometry-optimized K2RbO4 structure from the Alexandria database. Energies are from GGA-PBE.

N(E_F) (states/eV/f.u.): 6.5
Formation energy (no corrections) (meV per atom): -920

Cell and atoms, written as CIF:
```
data_K2RbO4
_chemical_formula_sum 'K4 Rb2 O8'
_space_group_name_H-M_alt 'P 1'
_space_group_IT_number 1
_space_group_name_Hall 'P 1'
_cell_length_a 6.175
_cell_length_b 6.206
_cell_length_c 8.119
_cell_angle_alpha 110.58
_cell_angle_beta 110.23
_cell_angle_gamma 94.24
loop_
_atom_site_label
_atom_site_type_symbol
_atom_site_fract_x
_atom_site_fract_y
_atom_site_fract_z
K1 K 0.000 0.000 0.000
K2 K 0.005 0.993 0.501
K3 K 0.503 0.849 0.075
K4 K 0.854 0.496 0.574
Rb1 Rb 0.299 0.572 0.324
Rb2 Rb 0.577 0.293 0.825
O1 O 0.064 0.570 0.941
O2 O 0.090 0.334 0.860
O3 O 0.316 0.809 0.709
O4 O 0.338 0.086 0.359
O5 O 0.547 0.761 0.741
O6 O 0.574 0.058 0.441
O7 O 0.766 0.542 0.242
O8 O 0.814 0.311 0.208
```